Record 1
Rb2Zn5As4: relaxed, PBE.

a b c (Å): 6.8836 6.8836 11.8336
angles (deg): 90.00 90.00 62.84
With the nearest neighbours (Å) after each atom.
Fractional coordinates of all 22 atoms:
As1 0.7202 0.2798 0.4005  5 Zn 2.51-2.69
As2 0.2798 0.7202 0.9005  5 Zn 2.51-2.69
Zn1 0.7595 0.5269 0.2500  4 As 2.52-2.69
As3 0.2798 0.7202 0.5995  5 Zn 2.51-2.69
Zn2 0.9908 0.0092 0.2500  4 As 2.58-2.63
Zn3 0.6539 0.3461 0.6090  4 As 2.51-2.69
As4 0.0865 0.6009 0.2500  5 Zn 2.52-2.69
Zn4 0.6539 0.3461 0.8910  4 As 2.51-2.69
Zn5 0.2405 0.4731 0.7500  4 As 2.52-2.69
Rb1 0.7827 0.7827 0.5000  8 As 3.46-3.86, 6 Zn 3.48-3.79, 2 Rb 3.67
Rb2 0.2173 0.2173 0.0000  8 As 3.46-3.86, 6 Zn 3.48-3.79, 2 Rb 3.67
Zn6 0.0092 0.9908 0.7500  4 As 2.58-2.63
Rb3 0.2173 0.2173 0.5000  8 As 3.46-3.86, 6 Zn 3.48-3.79, 2 Rb 3.67
As5 0.3991 0.9135 0.2500  5 Zn 2.52-2.69
As6 0.7202 0.2798 0.0995  5 Zn 2.51-2.69
Rb4 0.7827 0.7827 0.0000  8 As 3.46-3.86, 6 Zn 3.48-3.79, 2 Rb 3.67
Zn7 0.5269 0.7595 0.7500  4 As 2.52-2.69
Zn8 0.3461 0.6539 0.3910  4 As 2.51-2.69
As7 0.6009 0.0865 0.7500  5 Zn 2.52-2.69
Zn9 0.4731 0.2405 0.2500  4 As 2.52-2.69
Zn10 0.3461 0.6539 0.1090  4 As 2.51-2.69
As8 0.9135 0.3991 0.7500  5 Zn 2.52-2.69

Space group: No. 63

Record 2
MgScAu: relaxed, PBE.

a b c (Å): 4.8284 4.8284 5.8538
angles (deg): 90.00 90.00 119.94
With the nearest neighbours (Å) after each atom.
Fractional coordinates of all 6 atoms:
Sc1 0.8335 0.1665 0.7500  5 Au 2.79-2.93
Mg1 0.5000 0.5000 0.0000  2 Mg 2.93, 6 Au 3.14-3.15, 6 Sc 3.15
Au1 0.1671 0.8329 0.7500  5 Sc 2.79-2.93
Sc2 0.1665 0.8335 0.2500  5 Au 2.79-2.93
Au2 0.8329 0.1671 0.2500  5 Sc 2.79-2.93
Mg2 0.5000 0.5000 0.5000  2 Mg 2.93, 6 Au 3.14-3.15, 6 Sc 3.15

Space group: No. 63

Record 3
MgCu4Si2Ni: relaxed, PBE.

a b c (Å): 4.1328 4.1328 5.8103
angles (deg): 90.00 90.00 90.00
With the nearest neighbours (Å) after each atom.
Fractional coordinates of all 8 atoms:
Mg1 0.0000 0.0000 0.5000  8 Cu 2.56
Cu1 0.5000 0.0000 0.7600  2 Ni 2.49, 4 Si 2.49-2.56, 2 Mg 2.56, 1 Cu 2.79
Si1 0.0000 0.0000 0.0000  8 Cu 2.49
Cu2 0.5000 0.0000 0.2400  2 Ni 2.49, 4 Si 2.49-2.56, 2 Mg 2.56, 1 Cu 2.79
Cu3 0.0000 0.5000 0.2400  2 Ni 2.49, 4 Si 2.49-2.56, 2 Mg 2.56, 1 Cu 2.79
Si2 0.5000 0.5000 0.5000  8 Cu 2.56
Ni1 0.5000 0.5000 0.0000  8 Cu 2.49
Cu4 0.0000 0.5000 0.7600  2 Ni 2.49, 4 Si 2.49-2.56, 2 Mg 2.56, 1 Cu 2.79

Space group: No. 123

Record 4
Sn2PtAu: relaxed, PBE.

a b c (Å): 4.2609 4.2609 5.6305
angles (deg): 90.00 90.00 120.00
With the nearest neighbours (Å) after each atom.
Fractional coordinates of all 4 atoms:
Sn1 0.6667 0.3333 0.7290  3 Pt 2.78, 3 Au 2.89
Au1 0.0000 0.0000 0.0000  2 Pt 2.82, 6 Sn 2.89
Pt1 0.0000 0.0000 0.5000  6 Sn 2.78, 2 Au 2.82
Sn2 0.3333 0.6667 0.2710  3 Pt 2.78, 3 Au 2.89

Space group: No. 164

Record 5
CsAgIr: relaxed, PBE.

a b c (Å): 4.9891 4.9891 4.9891
angles (deg): 60.00 60.00 60.00
With the nearest neighbours (Å) after each atom.
Fractional coordinates of all 3 atoms:
Cs1 0.0000 0.0000 0.0000  4 Ir 3.06, 4 Ag 3.06
Ir1 0.7500 0.7500 0.7500  4 Cs 3.06
Ag1 0.2500 0.2500 0.2500  4 Cs 3.06

Space group: No. 216

Record 6
NdS: relaxed, PBE.

a b c (Å): 4.0668 4.0668 4.0668
angles (deg): 60.00 60.00 60.00
With the nearest neighbours (Å) after each atom.
Fractional coordinates of all 2 atoms:
Nd1 0.0000 0.0000 0.0000  6 S 2.88
S1 0.5000 0.5000 0.5000  6 Nd 2.88

Space group: No. 225

Record 7
Tb2Te3: relaxed, PBE.

a b c (Å): 12.0507 4.3018 11.8294
angles (deg): 90.00 90.00 90.00
With the nearest neighbours (Å) after each atom.
Fractional coordinates of all 20 atoms:
Te1 0.5416 0.7500 0.1225  5 Tb 3.11-3.24
Te2 0.6176 0.2500 0.5563  5 Tb 3.12-3.16
Te3 0.2235 0.7500 0.6959  4 Tb 3.11-3.22
Tb1 0.3031 0.7500 0.9963  7 Te 3.16-3.24
Te4 0.7765 0.2500 0.3041  4 Tb 3.11-3.22
Tb2 0.5181 0.2500 0.3112  7 Te 3.11-3.22
Te5 0.9584 0.2500 0.6225  5 Tb 3.11-3.24
Te6 0.2765 0.2500 0.1959  4 Tb 3.11-3.22
Tb3 0.8031 0.7500 0.5037  7 Te 3.16-3.24
Te7 0.8824 0.7500 0.0563  5 Tb 3.12-3.16
Tb4 0.1969 0.2500 0.4963  7 Te 3.16-3.24
Te8 0.0416 0.7500 0.3775  5 Tb 3.11-3.24
Te9 0.3824 0.7500 0.4437  5 Tb 3.12-3.16
Tb5 0.0181 0.2500 0.1888  7 Te 3.11-3.22
Te10 0.1176 0.2500 0.9437  5 Tb 3.12-3.16
Tb6 0.9819 0.7500 0.8112  7 Te 3.11-3.22
Tb7 0.4819 0.7500 0.6888  7 Te 3.11-3.22
Te11 0.7235 0.7500 0.8041  4 Tb 3.11-3.22
Tb8 0.6969 0.2500 0.0037  7 Te 3.16-3.24
Te12 0.4584 0.2500 0.8775  5 Tb 3.11-3.24

Space group: No. 62

Record 8
MgFeTcSb: relaxed, PBE.

a b c (Å): 4.4311 4.4311 4.4311
angles (deg): 60.00 60.00 60.00
With the nearest neighbours (Å) after each atom.
Fractional coordinates of all 4 atoms:
Sb1 0.0000 0.0000 0.0000  4 Tc 2.71, 4 Fe 2.71
Fe1 0.7500 0.7500 0.7500  4 Mg 2.71, 4 Sb 2.71
Mg1 0.5000 0.5000 0.5000  4 Fe 2.71, 4 Tc 2.71
Tc1 0.2500 0.2500 0.2500  4 Sb 2.71, 4 Mg 2.71

Space group: No. 216

Record 9
Li2Mg2NiPdPb2: relaxed, PBE.

a b c (Å): 4.6192 4.6192 6.5852
angles (deg): 90.00 90.00 90.00
With the nearest neighbours (Å) after each atom.
Fractional coordinates of all 8 atoms:
Mg1 0.0000 0.5000 0.7528  4 Li 2.83-2.85, 2 Ni 2.83, 2 Pd 2.85
Li1 0.0000 0.0000 0.5000  4 Mg 2.85, 4 Pb 2.89
Li2 0.5000 0.5000 0.0000  4 Pb 2.78, 4 Mg 2.83
Mg2 0.5000 0.0000 0.2472  4 Li 2.83-2.85, 2 Ni 2.83, 2 Pd 2.85
Ni1 0.0000 0.0000 0.0000  4 Pb 2.78, 4 Mg 2.83
Pb1 0.5000 0.0000 0.7639  4 Li 2.78-2.89, 2 Ni 2.78, 2 Pd 2.89
Pd1 0.5000 0.5000 0.5000  4 Mg 2.85, 4 Pb 2.89
Pb2 0.0000 0.5000 0.2361  4 Li 2.78-2.89, 2 Ni 2.78, 2 Pd 2.89

Space group: No. 115

Record 10
Na2OsSeO6: relaxed, PBE.

a b c (Å): 5.3492 5.4289 9.2940
angles (deg): 90.00 125.01 90.00
With the nearest neighbours (Å) after each atom.
Fractional coordinates of all 20 atoms:
Se1 0.5000 0.0000 0.0000  6 O 2.01-2.03
O1 0.8588 0.2043 0.0493  1 Os 1.94, 1 Se 2.03
Os1 0.0000 0.5000 0.0000  6 O 1.94-1.95
O2 0.7533 0.8024 0.5488  1 Os 1.95, 1 Se 2.01
Os2 0.0000 0.0000 0.5000  6 O 1.94-1.95
O3 0.7533 0.6976 0.0488  1 Os 1.95, 1 Se 2.01
O4 0.2467 0.1976 0.4512  1 Os 1.95, 1 Se 2.01
Na1 0.7604 0.4518 0.2495  4 O 2.26-2.38
O5 0.1412 0.7957 0.9507  1 Os 1.94, 1 Se 2.03
Na2 0.2396 0.9518 0.2505  4 O 2.26-2.38
O6 0.8588 0.2957 0.5493  1 Os 1.94, 1 Se 2.03
O7 0.6600 0.0251 0.2549  1 Os 1.94, 1 Se 2.01
Na3 0.7604 0.0482 0.7495  4 O 2.26-2.38
Se2 0.5000 0.5000 0.5000  6 O 2.01-2.03
O8 0.3400 0.5251 0.2451  1 Os 1.94, 1 Se 2.01
O9 0.6600 0.4749 0.7549  1 Os 1.94, 1 Se 2.01
O10 0.3400 0.9749 0.7451  1 Os 1.94, 1 Se 2.01
O11 0.2467 0.3024 0.9512  1 Os 1.95, 1 Se 2.01
Na4 0.2396 0.5482 0.7505  4 O 2.26-2.38
O12 0.1412 0.7043 0.4507  1 Os 1.94, 1 Se 2.03

Space group: No. 14

Record 11
TbHgTe3Au: relaxed, PBE.

a b c (Å): 7.9685 7.9685 10.9448
angles (deg): 90.00 90.00 150.34
With the nearest neighbours (Å) after each atom.
Fractional coordinates of all 12 atoms:
Tb1 0.0000 0.0000 0.5000  6 Te 3.09-3.15, 4 Au 3.43
Au1 0.4756 0.5244 0.7500  4 Te 2.76-2.81
Tb2 0.0000 0.0000 0.0000  6 Te 3.09-3.15, 4 Au 3.43
Te1 0.3557 0.6443 0.9373  1 Au 2.76
Te2 0.6443 0.3557 0.0627  1 Au 2.76
Hg1 0.2424 0.7576 0.2500  6 Te 3.16-3.26
Te3 0.3557 0.6443 0.5627  1 Au 2.76
Hg2 0.7576 0.2424 0.7500  6 Te 3.16-3.26
Te4 0.8991 0.1009 0.2500  2 Au 2.81
Te5 0.1009 0.8991 0.7500  2 Au 2.81
Au2 0.5244 0.4756 0.2500  4 Te 2.76-2.81
Te6 0.6443 0.3557 0.4373  1 Au 2.76

Space group: No. 63

Record 12
Tb2Au2O5: relaxed, PBE.

a b c (Å): 8.9524 3.9486 3.9486
angles (deg): 90.00 90.00 90.00
With the nearest neighbours (Å) after each atom.
Fractional coordinates of all 9 atoms:
O1 0.5000 0.5000 0.5000  2 Tb 2.20
Tb1 0.2539 0.5000 0.5000  5 O 2.20
Au1 0.5000 0.0000 0.0000  4 O 2.79
O2 0.1461 0.5000 0.0000  2 Tb 2.20, 2 Au 2.37
O3 0.8539 0.5000 0.0000  2 Tb 2.20, 2 Au 2.37
O4 0.1461 0.0000 0.5000  2 Tb 2.20, 2 Au 2.37
Tb2 0.7461 0.5000 0.5000  5 O 2.20
Au2 0.0000 0.0000 0.0000  8 O 2.37
O5 0.8539 0.0000 0.5000  2 Tb 2.20, 2 Au 2.37

Space group: No. 123

Record 13
Ho6Al7Cu16: relaxed, PBE.

a b c (Å): 8.6657 8.6657 8.6657
angles (deg): 120.00 90.00 120.00
With the nearest neighbours (Å) after each atom.
Fractional coordinates of all 29 atoms:
Al1 0.0000 0.0000 0.5000  8 Cu 2.51-2.68
Cu1 0.8791 0.2418 0.1209  4 Al 2.57-2.68, 3 Cu 2.68
Cu2 0.9802 0.6535 0.3267  3 Al 2.51, 6 Cu 2.66-2.68
Al2 0.5000 0.5000 0.0000  8 Cu 2.51-2.68
Cu3 0.6733 0.3465 0.0198  3 Al 2.51, 6 Cu 2.66-2.68
Ho1 0.2898 0.5797 0.2898  8 Cu 2.95-3.04, 4 Al 3.10
Cu4 0.1209 0.2418 0.3627  4 Al 2.57-2.68, 3 Cu 2.68
Cu5 0.8791 0.7582 0.1209  4 Al 2.57-2.68, 3 Cu 2.68
Al3 0.0000 0.0000 0.0000  8 Cu 2.57
Cu6 0.3267 0.6535 0.6733  3 Al 2.51, 6 Cu 2.66-2.68
Cu7 0.6733 0.6535 0.3267  3 Al 2.51, 6 Cu 2.66-2.68
Al4 0.5000 0.0000 0.0000  8 Cu 2.51-2.68
Cu8 0.1209 0.7582 0.8791  4 Al 2.57-2.68, 3 Cu 2.68
Cu9 0.3267 0.6535 0.9802  3 Al 2.51, 6 Cu 2.66-2.68
Al5 0.5000 0.5000 0.5000  8 Cu 2.51-2.68
Cu10 0.1209 0.2418 0.8791  4 Al 2.57-2.68, 3 Cu 2.68
Ho2 0.2898 0.0000 0.2898  8 Cu 2.95-3.04, 4 Al 3.10
Ho3 0.7102 0.0000 0.7102  8 Cu 2.95-3.04, 4 Al 3.10
Cu11 0.3267 0.3465 0.6733  3 Al 2.51, 6 Cu 2.66-2.68
Al6 0.0000 0.5000 0.0000  8 Cu 2.51-2.68
Cu12 0.0198 0.3465 0.6733  3 Al 2.51, 6 Cu 2.66-2.68
Ho4 0.7102 0.0000 0.2898  8 Cu 2.95-3.04, 4 Al 3.10
Al7 0.0000 0.5000 0.5000  8 Cu 2.51-2.68
Cu13 0.6373 0.7582 0.8791  4 Al 2.57-2.68, 3 Cu 2.68
Ho5 0.7102 0.4203 0.7102  8 Cu 2.95-3.04, 4 Al 3.10
Cu14 0.6733 0.3465 0.3267  3 Al 2.51, 6 Cu 2.66-2.68
Cu15 0.3627 0.2418 0.1209  4 Al 2.57-2.68, 3 Cu 2.68
Cu16 0.8791 0.7582 0.6373  4 Al 2.57-2.68, 3 Cu 2.68
Ho6 0.2898 0.0000 0.7102  8 Cu 2.95-3.04, 4 Al 3.10

Space group: No. 225

Record 14
LaCuP2: relaxed, PBE.

a b c (Å): 7.9250 7.9250 4.5811
angles (deg): 90.00 90.00 148.77
With the nearest neighbours (Å) after each atom.
Fractional coordinates of all 8 atoms:
P1 0.0281 0.9719 0.2500  1 Cu 2.34, 2 P 2.45
Cu1 0.1817 0.8183 0.2500  5 P 2.34-2.52
La1 0.3918 0.6082 0.2500  6 P 2.98-3.15, 5 Cu 3.21-3.32
Cu2 0.8183 0.1817 0.7500  5 P 2.34-2.52
La2 0.6082 0.3918 0.7500  6 P 2.98-3.15, 5 Cu 3.21-3.32
P2 0.2501 0.7499 0.7500  4 Cu 2.37-2.52
P3 0.9719 0.0281 0.7500  1 Cu 2.34, 2 P 2.45
P4 0.7499 0.2501 0.2500  4 Cu 2.37-2.52

Space group: No. 63

Record 15
Sm2CoC2: relaxed, PBE.

a b c (Å): 6.1970 5.2072 10.0075
angles (deg): 90.00 90.00 90.00
With the nearest neighbours (Å) after each atom.
Fractional coordinates of all 20 atoms:
Sm1 0.1996 0.2500 0.4484  5 C 2.47-2.64
C1 0.7983 0.2500 0.5363  1 Co 1.88
Sm2 0.4903 0.7500 0.2745  4 C 2.60-2.72
Co1 0.7373 0.2500 0.3524  3 C 1.85-1.88
C2 0.5227 0.7500 0.7432  2 Co 1.85-1.87
C3 0.9773 0.2500 0.2432  2 Co 1.85-1.87
C4 0.2983 0.2500 0.9637  1 Co 1.88
Sm3 0.3004 0.7500 0.9484  5 C 2.47-2.64
Sm4 0.0097 0.2500 0.7745  4 C 2.60-2.72
Sm5 0.8004 0.7500 0.5516  5 C 2.47-2.64
Co2 0.2373 0.2500 0.1476  3 C 1.85-1.88
C5 0.0227 0.7500 0.7568  2 Co 1.85-1.87
C6 0.2017 0.7500 0.4637  1 Co 1.88
C7 0.7017 0.7500 0.0363  1 Co 1.88
Sm6 0.6996 0.2500 0.0516  5 C 2.47-2.64
Co3 0.7627 0.7500 0.8524  3 C 1.85-1.88
C8 0.4773 0.2500 0.2568  2 Co 1.85-1.87
Sm7 0.9903 0.7500 0.2255  4 C 2.60-2.72
Sm8 0.5097 0.2500 0.7255  4 C 2.60-2.72
Co4 0.2627 0.7500 0.6476  3 C 1.85-1.88

Space group: No. 62

Record 16
Sc2Cu2Bi: relaxed, PBE.

a b c (Å): 6.1258 6.1258 6.1258
angles (deg): 137.91 137.91 61.04
With the nearest neighbours (Å) after each atom.
Fractional coordinates of all 5 atoms:
Sc1 0.7500 0.2500 0.5000  4 Cu 2.66
Cu1 0.6088 0.6088 0.0000  1 Cu 2.30
Sc2 0.2500 0.7500 0.5000  4 Cu 2.66
Bi1 0.0000 0.0000 0.0000  8 Cu 3.32, 8 Sc 3.44
Cu2 0.3912 0.3912 0.0000  1 Cu 2.30

Space group: No. 139

Record 17
CsRbPdSe3: relaxed, PBE.

a b c (Å): 7.6620 7.6620 10.2340
angles (deg): 115.55 115.55 54.52
With the nearest neighbours (Å) after each atom.
Fractional coordinates of all 12 atoms:
Se1 0.3783 0.3783 0.5997  1 Pd 2.40
Se2 0.6217 0.6217 0.4003  1 Pd 2.40
Se3 0.7971 0.7971 0.2474  1 Pd 2.40
Se4 0.2192 0.7808 0.0000  2 Pd 2.46
Rb1 0.0898 0.0898 0.3713  7 Se 3.43-3.71
Se5 0.7808 0.2192 0.0000  2 Pd 2.46
Pd1 0.5974 0.5974 0.1516  4 Se 2.40-2.46
Cs1 0.6912 0.6912 0.8283  7 Se 3.61-4.01, 1 Pd 4.04
Rb2 0.9102 0.9102 0.6287  7 Se 3.43-3.71
Cs2 0.3088 0.3088 0.1717  7 Se 3.61-4.01, 1 Pd 4.04
Se6 0.2029 0.2029 0.7526  1 Pd 2.40
Pd2 0.4026 0.4026 0.8484  4 Se 2.40-2.46

Space group: No. 12

Record 18
Tb2Gd2Ni: relaxed, PBE.

a b c (Å): 5.2741 5.2741 10.8905
angles (deg): 90.00 90.00 120.00
With the nearest neighbours (Å) after each atom.
Fractional coordinates of all 10 atoms:
Ni1 0.0000 0.0000 0.7500  5 Gd 2.72-3.05
Gd1 0.0000 0.0000 0.0000  2 Ni 2.72
Ni2 0.0000 0.0000 0.2500  5 Gd 2.72-3.05
Gd2 0.3333 0.6667 0.7500  3 Ni 3.04-3.05
Tb1 0.6667 0.3333 0.5972  6 Gd 3.22-3.47, 1 Tb 3.33, 3 Ni 3.47
Tb2 0.3333 0.6667 0.4028  6 Gd 3.22-3.47, 1 Tb 3.33, 3 Ni 3.47
Tb3 0.6667 0.3333 0.9028  6 Gd 3.22-3.47, 1 Tb 3.33, 3 Ni 3.47
Gd3 0.0000 0.0000 0.5000  2 Ni 2.72
Tb4 0.3333 0.6667 0.0972  6 Gd 3.22-3.47, 1 Tb 3.33, 3 Ni 3.47
Gd4 0.6667 0.3333 0.2500  3 Ni 3.04-3.05

Space group: No. 194
Energy of formation, eV per atom: 0.05

Record 19
Dy2FeCoSi2C: relaxed, PBE.

a b c (Å): 5.6153 5.6153 6.7793
angles (deg): 126.55 126.55 40.47
With the nearest neighbours (Å) after each atom.
Fractional coordinates of all 7 atoms:
Dy1 0.4380 0.4380 0.7059  2 C 2.55
Fe1 0.8003 0.8003 0.9111  1 C 1.76
Dy2 0.5626 0.5626 0.2944  2 C 2.56
Co1 0.2010 0.2010 0.0913  1 C 1.81
C1 0.9970 0.9970 0.9965  1 Fe 1.76, 1 Co 1.81
Si1 0.8427 0.8427 0.2921  2 Co 2.30, 1 Fe 2.32
Si2 0.1585 0.1585 0.7088  2 Fe 2.30, 1 Co 2.33

Space group: No. 8

Record 20
BaSmPd: relaxed, PBE.

a b c (Å): 5.2290 5.2290 5.2290
angles (deg): 60.00 60.00 60.00
With the nearest neighbours (Å) after each atom.
Fractional coordinates of all 3 atoms:
Sm1 0.7500 0.7500 0.7500  4 Pd 3.20
Ba1 0.2500 0.2500 0.2500  4 Pd 3.20
Pd1 0.0000 0.0000 0.0000  4 Ba 3.20, 4 Sm 3.20

Space group: No. 216

Record 21
AcNbFe: relaxed, PBE.

a b c (Å): 4.6044 4.6044 4.6044
angles (deg): 60.00 60.00 60.00
With the nearest neighbours (Å) after each atom.
Fractional coordinates of all 3 atoms:
Fe1 0.2500 0.2500 0.2500  4 Ac 2.82, 4 Nb 2.82
Ac1 0.0000 0.0000 0.0000  4 Fe 2.82
Nb1 0.5000 0.5000 0.5000  4 Fe 2.82

Space group: No. 216
Energy of formation, eV per atom: 0.77

Record 22
LaGdAl2Pd4: relaxed, PBE.

a b c (Å): 4.4029 4.4029 9.3781
angles (deg): 90.00 90.00 120.00
With the nearest neighbours (Å) after each atom.
Fractional coordinates of all 8 atoms:
Pd1 0.3333 0.6667 0.8322  3 Al 2.63, 3 Pd 2.90
Pd2 0.0000 0.0000 0.3157  3 Al 2.64, 3 Pd 2.90
Al1 0.6667 0.3333 0.2394  6 Pd 2.63-2.64
Pd3 0.3333 0.6667 0.1678  3 Al 2.63, 3 Pd 2.90
Pd4 0.0000 0.0000 0.6843  3 Al 2.64, 3 Pd 2.90
La1 0.3333 0.6667 0.5000  8 Pd 3.07-3.12
Gd1 0.0000 0.0000 0.0000  8 Pd 2.96-2.99
Al2 0.6667 0.3333 0.7606  6 Pd 2.63-2.64

Space group: No. 187

Quick rundown of E, same order as above: -2.774 -4.339 -4.151 -4.702 -2.271 -6.474 -5.137 -5.913 -3.444 -5.726 -3.487 -5.960 -4.280 -5.679 -7.099 -4.924 -3.495 -4.781 -7.080 -4.151 -6.733 -5.630 eV per atom